Material: PrSm4N5
Method: DFT, PBE
State: relaxed

Space-group type: I4 (79)
Size of the total moment (μB/cell): 0.00
Energy relative to the elements, uncorrected (eV/atom): -1.4395
Calculated volume (Å³ per cell): 166.4

abc: 5.1246 6.2473 6.2473
angles: 80.32 65.79 65.79
Closest atoms and distances in Å follow each position.
Fractional positions:
Sm 0.8096 0.7987 0.5996  6 N 2.48-2.65
N 0.0937 0.5946 0.2027  5 Sm 2.48-2.65, 1 Pr 2.58
N 0.4979 0.0000 0.0000  2 Pr 2.51-2.61, 4 Sm 2.55
Pr 0.0078 0.0000 0.0000  6 N 2.51-2.61
Sm 0.2079 0.2013 0.4004  6 N 2.48-2.65
Sm 0.6083 0.5996 0.2013  6 N 2.48-2.65
N 0.8910 0.4054 0.7973  5 Sm 2.48-2.65, 1 Pr 2.58
Sm 0.4092 0.4004 0.7987  6 N 2.48-2.65
N 0.2964 0.7973 0.5946  5 Sm 2.48-2.65, 1 Pr 2.58
N 0.6883 0.2027 0.4054  5 Sm 2.48-2.65, 1 Pr 2.58